[1]
ZrSb2P: relaxed, PBE-GGA.

Values from the calculation:
uncorrected formation energy	-0.24	eV per atom
spin magnetization	0.00	μB per formula unit
V	25.3	A^3/atom

a b c (Å): 4.916 4.916 6.237
angles (deg): 92.58 92.58 42.33
Positions (direct):
Zr: 0.000 0.000 0.000
Sb: 0.477 0.477 0.612
Sb: 0.713 0.713 0.267
P: 0.286 0.286 0.943

***

[2]
ZrSb2P: relaxed, PBE-GGA.

Values from the calculation:
uncorrected formation energy	-0.29	eV per atom
spin magnetization	0.00	μB per formula unit
V	24.0	A^3/atom

a b c (Å): 7.383 7.383 7.383
angles (deg): 151.61 149.85 41.89
Positions (direct):
Zr: 0.000 0.000 0.000
Sb: 0.190 0.690 0.500
Sb: 0.810 0.310 0.500
P: 0.500 0.500 0.000